Material: ThAgOs
Method: DFT, PBE
State: optimized geometry

```
data_ThAgOs
_chemical_formula_sum 'Th2 Ag2 Os2'
_symmetry_space_group_name_H-M 'P 1'
_symmetry_Int_Tables_number 1
_symmetry_space_group_name_Hall 'P 1'
_cell_length_a 4.878
_cell_length_b 5.840
_cell_length_c 5.257
_cell_angle_alpha 79.12
_cell_angle_beta 90.00
_cell_angle_gamma 114.69
loop_
_atom_site_label
_atom_site_type_symbol
_atom_site_fract_x
_atom_site_fract_y
_atom_site_fract_z
_atom_site_occupancy
Ag1 Ag 0.427 0.853 0.761 1
Ag2 Ag 0.573 0.147 0.239 1
Os1 Os 0.196 0.392 0.135 1
Os2 Os 0.804 0.608 0.865 1
Th1 Th 0.127 0.255 0.683 1
Th2 Th 0.873 0.745 0.317 1
```

## Properties
Size of the total moment (μB per cell): 0.00
E_form (kJ/mol of atoms): -5
Total energy (eV per atom): -7.216
Crystal system: monoclinic
Symmetry: C2/m
Excess energy over the best structure of this formula in the dataset (meV/atom): 81.4